(1)
DFT (PBE-GGA) results for a relaxed TbTmCdAu crystal.

Summary:
calculated formation energy	-0.56	eV per atom
magnetization	0.00	μB per cell
offset from the most stable computed form	3.0	kJ/mol of atoms
final energy	-3.8865	eV/atom

abc: 7.3007 7.3007 7.3007
angles: 90.00 90.00 90.00
Last column: nearest neighbours and their distance in Å.
Space group F-43m (No. 216)
Unique sites:
Tb: 0.0000 0.0000 0.0000 x4  4 Cd 3.16, 4 Au 3.16
Tm: 0.0000 0.0000 0.5000 x4  4 Au 3.16, 4 Cd 3.16
Cd: 0.2500 0.2500 0.7500 x4  4 Tb 3.16, 4 Tm 3.16
Au: 0.2500 0.2500 0.2500 x4  4 Tb 3.16, 4 Tm 3.16

***

(2)
DFT (PBE-GGA) results for a relaxed ErCd2Bi crystal.

Summary:
calculated formation energy	-0.35	eV per atom
magnetization	0.00	μB per cell
final energy	-2.9177	eV/atom

abc: 4.4857 4.4857 5.0983
angles: 90.00 90.00 90.00
Last column: nearest neighbours and their distance in Å.
Space group P4/mmm (No. 123)
Unique sites:
Er: 0.0000 0.0000 0.0000 x1  4 Bi 3.17, 8 Cd 3.40
Cd: 0.0000 0.5000 0.5000 x2  4 Cd 3.17, 4 Bi 3.40, 4 Er 3.40
Bi: 0.5000 0.5000 0.0000 x1  4 Er 3.17, 8 Cd 3.40

***

(3)
DFT (PBE-GGA) results for a relaxed TaV2 crystal.

Summary:
calculated formation energy	-0.11	eV per atom
magnetization	0.00	μB per cell
final energy	-10.1354	eV/atom

abc: 7.1365 7.1365 7.1365
angles: 90.00 90.00 90.00
Last column: nearest neighbours and their distance in Å.
Space group Fd-3m (No. 227, origin choice 2)
Unique sites:
Ta: 0.1250 0.1250 0.1250 x8  12 V 2.96, 4 Ta 3.09
V: 0.0000 0.0000 0.5000 x16  6 V 2.52

***

(4)
DFT (PBE-GGA) results for a relaxed YTm3Sc crystal.

Summary:
calculated formation energy	0.01	eV per atom
magnetization	0.00	μB per cell
final energy	-5.2292	eV/atom

abc: 6.1022 6.5270 8.9492
angles: 107.66 90.05 117.86
Last column: nearest neighbours and their distance in Å.
Space group P-1 (No. 2)
Unique sites:
Y: 0.0324 0.4028 0.1536 x2  9 Tm 3.41-3.60, 1 Y 3.45, 2 Sc 3.51-3.54
Tm: 0.1691 0.0064 0.2536 x2  3 Sc 3.38-3.47, 6 Tm 3.40-3.55, 3 Y 3.41-3.60
Tm: 0.2349 0.8018 0.5489 x2  6 Tm 3.39-3.52, 4 Sc 3.40-3.51, 2 Y 3.42-3.50
Tm: 0.4332 0.2026 0.9476 x2  6 Tm 3.38-3.55, 4 Y 3.41-3.55, 2 Sc 3.43-3.57
Sc: 0.3671 0.4015 0.6460 x2  1 Sc 3.35, 9 Tm 3.38-3.57, 2 Y 3.51-3.54

***

(5)
DFT (PBE-GGA) results for a relaxed NaMnS2 crystal.

Summary:
magnetization	0.00	μB per cell
ΔE_f (raw)	-7	meV per atom
final energy	-4.6925	eV/atom

abc: 6.0831 6.0831 6.0831
angles: 90.00 90.00 90.00
Last column: nearest neighbours and their distance in Å.
Space group Fm-3m (No. 225)
Unique sites:
Na: 0.0000 0.0000 0.0000 x4  8 S 2.63
Mn: 0.0000 0.0000 0.5000 x4  8 S 2.63
S: 0.2500 0.2500 0.2500 x8  4 Na 2.63, 4 Mn 2.63

***

(6)
DFT (PBE-GGA) results for a relaxed KIn3Au2 crystal.

Summary:
calculated formation energy	-0.26	eV per atom
magnetization	0.00	μB per cell
offset from the most stable computed form	0.0	kJ/mol of atoms
final energy	-2.9006	eV/atom

abc: 18.5318 4.5561 11.7113
angles: 90.00 105.72 90.00
Last column: nearest neighbours and their distance in Å.
Space group C2/m (No. 12)
Unique sites:
K: 0.0000 0.0000 0.0000 x2  6 Au 3.47-3.56, 4 In 3.61
K: 0.1583 0.0000 0.7073 x4  6 In 3.52-3.90, 6 Au 3.60-3.65
In: 0.0000 0.5000 0.5000 x2  2 Au 2.83, 4 In 3.12
In: 0.0380 0.0000 0.3442 x4  4 Au 2.91-3.06, 3 In 3.12-3.19
In: 0.1230 0.5000 0.2017 x4  4 Au 2.90-2.93, 1 In 3.17
In: 0.1745 0.5000 0.9645 x4  4 Au 2.81-2.93
In: 0.2155 0.0000 0.3834 x4  4 Au 2.76-2.92
Au: 0.0333 0.5000 0.7966 x4  4 In 2.81-2.91
Au: 0.1435 0.5000 0.4584 x4  7 In 2.76-3.06
Au: 0.1978 0.0000 0.1280 x4  6 In 2.86-2.93

***

(7)
DFT (PBE-GGA) results for a relaxed BiAsPbBr2 crystal.

Summary:
magnetization	0.00	μB per cell
offset from the most stable computed form	0.0	kJ/mol of atoms
ΔE_f (raw)	111	meV per atom
final energy	-3.0062	eV/atom

abc: 5.6470 5.6470 5.6461
angles: 90.00 90.00 90.00
Last column: nearest neighbours and their distance in Å.
Space group P4/mmm (No. 123)
Unique sites:
Bi: 0.0000 0.0000 0.0000 x1  2 As 2.82, 4 Br 2.82
As: 0.0000 0.0000 0.5000 x1  2 Bi 2.82
Pb: 0.5000 0.5000 0.5000 x1  8 Br 3.99, 4 As 3.99
Br: 0.0000 0.5000 0.0000 x2  2 Bi 2.82

***

(8)
DFT (PBE-GGA) results for a relaxed Bi2AsSe4 crystal.

Summary:
magnetization	0.00	μB per cell
ΔE_f (raw)	-50	meV per atom
final energy	-3.8146	eV/atom

abc: 7.2439 7.2439 8.2206
angles: 90.00 90.00 90.00
Last column: nearest neighbours and their distance in Å.
Space group I-42m (No. 121)
Unique sites:
Bi: 0.0000 0.5000 0.2500 x4  4 Se 2.89
As: 0.0000 0.0000 0.0000 x2  4 Se 2.64
Se: 0.2480 0.2480 0.0860 x8  1 As 2.64, 2 Bi 2.89